(1)
# Ba2SrRu PBEsol optimized geometry
# DOS at the Fermi energy: 13.722 states/eV per cell
# Calculated formation energy: 0.530 eV per atom
# Offset from the most stable computed form: 0.00 eV per formula unit
data_Ba2SrRu
_cell_length_a 4.1711
_cell_length_b 4.1711
_cell_length_c 32.6893
_cell_angle_alpha 90.00
_cell_angle_beta 90.00
_cell_angle_gamma 120.00
_space_group_name_H-M_alt 'R -3 m'
_space_group_IT_number 166
_space_group_name_Hall '-R 3 2"'
loop_
_atom_site_label
_atom_site_fract_x
_atom_site_fract_y
_atom_site_fract_z
Ba1 0.0000 0.0000 0.2229
Sr1 0.0000 0.0000 0.0000
Ru1 0.0000 0.0000 0.5000

(2)
# IrAuSe PBEsol optimized geometry
# Formation energy without anion corrections: 16 kJ per mole of atoms
data_IrAuSe
_cell_length_a 3.4094
_cell_length_b 3.4094
_cell_length_c 5.6989
_cell_angle_alpha 90.00
_cell_angle_beta 90.00
_cell_angle_gamma 120.00
_space_group_name_H-M_alt 'P 3 m 1'
_space_group_IT_number 156
loop_
_space_group_symop_operation_xyz
'x,y,z'
'-y,x-y,z'
'-x+y,-x,z'
'-y,-x,z'
'-x+y,y,z'
'x,x-y,z'
loop_
_atom_site_label
_atom_site_fract_x
_atom_site_fract_y
_atom_site_fract_z
Ir1 0.0000 0.0000 0.0000
Au1 0.6667 0.3333 0.3178
Se1 0.3333 0.6667 0.7642

(3)
# ScTl PBEsol optimized geometry
# DOS at the Fermi energy: 9.172 states/eV per cell
# Calculated formation energy: 0.013 eV per atom
data_ScTl
_cell_length_a 4.6633
_cell_length_b 4.6633
_cell_length_c 16.1911
_cell_angle_alpha 90.00
_cell_angle_beta 90.00
_cell_angle_gamma 120.00
_space_group_name_H-M_alt 'R -3 m'
_space_group_IT_number 166
_space_group_name_Hall '-R 3 2"'
loop_
_atom_site_label
_atom_site_fract_x
_atom_site_fract_y
_atom_site_fract_z
Sc1 0.0000 0.0000 0.1034
Tl1 0.0000 0.0000 0.2942

Calculated size of the total moment, 0.5; 0.0; 0.0 μB/f.u. (same order as the records).
Calculated total DFT energy (no corrections), -3.548; -5.697; -4.604 eV/atom (same order as the records).